# LiErSn

A relaxed structure of LiErSn (PBE, Alexandria via LeMat-Bulk).

For the energy, the calculation gives -0.13451 Ha/atom.

The structure belongs to space group C2/m (No. 12); the cell edges are 8.226, 4.762 and 9.056 Å and the angles 90.00°, 107.31° and 90.00°. The asymmetric unit holds Li at (0.244, 0.000, 0.233), Er at (0.000, 0.000, 0.500), Er at (0.000, 0.500, 0.000) and Sn at (0.114, 0.000, 0.842).

***

# LiErSn

A relaxed structure of LiErSn (PBE, Alexandria via LeMat-Bulk).

For the energy, the calculation gives -0.15178 Ha/atom.

The structure belongs to space group P6_3mc (No. 186); the cell edges are 9.3336, 9.3336 and 7.2181 Å and the angles 90.00°, 90.00° and 120.00°. The asymmetric unit holds Li at (0.1667, 0.3334, 0.0000), Li at (0.3333, 0.6667, 0.6041), Er at (0.0000, 0.0000, 0.2853), Er at (0.0215, 0.5107, 0.2906), Sn at (0.1668, 0.3335, 0.5529) and Sn at (0.3333, 0.6667, 0.0237).

***

# LiErSn

A relaxed structure of LiErSn (PBE, Alexandria via LeMat-Bulk).

For the energy, the calculation gives -0.14375 Ha/atom.

The structure belongs to space group F-43m (No. 216); the cell edges are 6.954, 6.954 and 6.954 Å and the angles 90.00°, 90.00° and 90.00°. The asymmetric unit holds Li at (0.000, 0.000, 0.000), Er at (0.000, 0.000, 0.500) and Sn at (0.250, 0.250, 0.750).

***

# SrLiErSn

A relaxed structure of SrLiErSn (PBE, Alexandria via LeMat-Bulk).

For the energy, the calculation gives -0.12374 Ha/atom.

The structure belongs to space group F-43m (No. 216); the cell edges are 7.674, 7.674 and 7.674 Å and the angles 90.00°, 90.00° and 90.00°. The asymmetric unit holds Sr at (0.000, 0.000, 0.000), Li at (0.250, 0.250, 0.250), Er at (0.000, 0.000, 0.500) and Sn at (0.250, 0.250, 0.750).

***

# LiTbErSn

A relaxed structure of LiTbErSn (PBE, Alexandria via LeMat-Bulk).

For the energy, the calculation gives -0.15365 Ha/atom.

The structure belongs to space group F-43m (No. 216); the cell edges are 7.356, 7.356 and 7.356 Å and the angles 90.00°, 90.00° and 90.00°. The asymmetric unit holds Li at (0.000, 0.000, 0.000), Tb at (0.250, 0.250, 0.750), Er at (0.250, 0.250, 0.250) and Sn at (0.000, 0.000, 0.500).

***

# Li2Tb2ErSn2

A relaxed structure of Li2Tb2ErSn2 (PBE, Alexandria via LeMat-Bulk).

For the energy, the calculation gives -0.15084 Ha/atom.

The structure belongs to space group R-3m (No. 166, hexagonal axes); the cell edges are 4.7642, 4.7642 and 26.5447 Å and the angles 90.00°, 90.00° and 120.00°. The asymmetric unit holds Li at (0.0000, 0.0000, 0.1018), Tb at (0.0000, 0.0000, 0.3718), Er at (0.0000, 0.0000, 0.5000) and Sn at (0.0000, 0.0000, 0.2351).

***

# Li2ErSn3Te6

A relaxed structure of Li2ErSn3Te6 (PBE, Alexandria via LeMat-Bulk).

For the formation energy (no corrections), the calculation gives -658.6 meV/atom. For the energy, the calculation gives -0.14440 Ha/atom.

The structure belongs to space group C2/m (No. 12); the cell edges are 7.559, 13.114 and 7.705 Å and the angles 90.00°, 109.11° and 90.00°. The asymmetric unit holds Li at (0.000, 0.172, 0.000), Er at (0.000, 0.500, 0.000), Sn at (0.000, 0.000, 0.500), Sn at (0.000, 0.338, 0.500), Te at (0.245, 0.334, 0.236) and Te at (0.247, 0.000, 0.239).

***

# LiErSn2Te4

A relaxed structure of LiErSn2Te4 (PBE, Alexandria via LeMat-Bulk).

For the formation energy (no corrections), the calculation gives -726.7 meV/atom. For the energy, the calculation gives -0.15096 Ha/atom.

The structure belongs to space group P2/m (No. 10); the cell edges are 7.619, 4.426 and 7.746 Å and the angles 90.00°, 108.86° and 90.00°. The asymmetric unit holds Li at (0.000, 0.000, 0.000), Er at (0.500, 0.500, 0.000), Sn at (0.000, 0.500, 0.500), Sn at (0.500, 0.000, 0.500), Te at (0.247, 0.500, 0.235) and Te at (0.254, 0.000, 0.764).